# PBE-GGA YRu2Au, optimized geometry
# DFT total energy   -7.03 eV/atom
# D(E_F)   0.9235 states/eV/atom
# Relative energy among the computed polymorphs   0.089 eV per atom
data_YRu2Au
_chemical_formula_sum 'Y2 Ru4 Au2'
_space_group_name_H-M_alt 'C 1 m 1'
_space_group_IT_number 8
_cell_length_a 9.797
_cell_length_b 3.142
_cell_length_c 4.819
_cell_angle_alpha 90.00
_cell_angle_beta 105.50
_cell_angle_gamma 90.00
loop_
_space_group_symop_operation_xyz
'x,y,z'
'x,-y,z'
'x+1/2,y+1/2,z'
'x+1/2,-y+1/2,z'
loop_
_atom_site_label
_atom_site_fract_x
_atom_site_fract_y
_atom_site_fract_z
Y1 0.000 0.000 0.000
Ru1 0.261 0.500 0.304
Ru2 0.490 0.000 0.470
Au1 0.237 0.000 0.756

# PBE-GGA Cu3BPd6, optimized geometry
# DFT total energy   -5.03 eV/atom
# D(E_F)   0.3586 states/eV/atom
data_Cu3BPd6
_chemical_formula_sum 'Cu6 B2 Pd12'
_space_group_name_H-M_alt 'P 1 21/c 1'
_space_group_IT_number 14
_cell_length_a 5.581
_cell_length_b 6.443
_cell_length_c 8.975
_cell_angle_alpha 90.00
_cell_angle_beta 115.22
_cell_angle_gamma 90.00
loop_
_space_group_symop_operation_xyz
'x,y,z'
'-x,-y,-z'
'-x,y+1/2,-z+1/2'
'x,-y+1/2,z+1/2'
loop_
_atom_site_label
_atom_site_fract_x
_atom_site_fract_y
_atom_site_fract_z
Cu1 0.000 0.000 0.000
Cu2 0.120 0.113 0.755
B1 0.500 0.000 0.500
Pd1 0.151 0.137 0.475
Pd2 0.353 0.697 0.459
Pd3 0.428 0.051 0.252

# PBE-GGA PmP2Rh, optimized geometry
# DFT total energy   -6.77 eV/atom
# D(E_F)   0.1866 states/eV/atom
# Relative energy among the computed polymorphs   0.003 eV per atom
data_PmP2Rh
_chemical_formula_sum 'Pm3 P6 Rh3'
_space_group_name_H-M_alt 'R -3 m'
_space_group_IT_number 166
_space_group_name_Hall '-R 3 2"'
_cell_length_a 3.9149
_cell_length_b 3.9149
_cell_length_c 16.3104
_cell_angle_alpha 90.00
_cell_angle_beta 90.00
_cell_angle_gamma 120.00
loop_
_atom_site_label
_atom_site_fract_x
_atom_site_fract_y
_atom_site_fract_z
Pm1 0.0000 0.0000 0.0000
P1 0.0000 0.0000 0.2268
Rh1 0.0000 0.0000 0.5000

# PBE-GGA TaZnPt4, optimized geometry
# DFT total energy   -6.37 eV/atom
# D(E_F)   0.6858 states/eV/atom
data_TaZnPt4
_chemical_formula_sum 'Ta4 Zn4 Pt16'
_space_group_name_H-M_alt 'F -4 3 m'
_space_group_IT_number 216
_space_group_name_Hall 'F -4 2 3'
_cell_length_a 7.390
_cell_length_b 7.390
_cell_length_c 7.390
_cell_angle_alpha 90.00
_cell_angle_beta 90.00
_cell_angle_gamma 90.00
loop_
_atom_site_label
_atom_site_fract_x
_atom_site_fract_y
_atom_site_fract_z
Ta1 0.000 0.000 0.000
Zn1 0.250 0.250 0.250
Pt1 0.125 0.125 0.625

# PBE-GGA TmZr3Rh4, optimized geometry
# DFT total energy   -8.25 eV/atom
# D(E_F)   0.8902 states/eV/atom
data_TmZr3Rh4
_chemical_formula_sum 'Tm3 Zr9 Rh12'
_space_group_name_H-M_alt 'R -3 m'
_space_group_IT_number 166
_space_group_name_Hall '-R 3 2"'
_cell_length_a 4.6964
_cell_length_b 4.6964
_cell_length_c 22.9943
_cell_angle_alpha 90.00
_cell_angle_beta 90.00
_cell_angle_gamma 120.00
loop_
_atom_site_label
_atom_site_fract_x
_atom_site_fract_y
_atom_site_fract_z
Tm1 0.0000 0.0000 0.0000
Zr1 0.0000 0.0000 0.2498
Zr2 0.0000 0.0000 0.5000
Rh1 0.0000 0.0000 0.1281
Rh2 0.0000 0.0000 0.3780

# PBE-GGA Ac5In4Ga, optimized geometry
# DFT total energy   -3.87 eV/atom
# D(E_F)   0.8993 states/eV/atom
data_Ac5In4Ga
_chemical_formula_sum 'Ac5 In4 Ga1'
_space_group_name_H-M_alt 'P 4/m m m'
_space_group_IT_number 123
_space_group_name_Hall '-P 4 2'
_cell_length_a 4.041
_cell_length_b 4.041
_cell_length_c 20.693
_cell_angle_alpha 90.00
_cell_angle_beta 90.00
_cell_angle_gamma 90.00
loop_
_atom_site_label
_atom_site_fract_x
_atom_site_fract_y
_atom_site_fract_z
Ac1 0.000 0.000 0.000
Ac2 0.000 0.000 0.204
Ac3 0.000 0.000 0.409
In1 0.500 0.500 0.102
In2 0.500 0.500 0.306
Ga1 0.500 0.500 0.500

# PBE-GGA BaTeIr2, optimized geometry
# DFT total energy   -5.29 eV/atom
# Formation energy (no corrections)   406 meV per atom
# D(E_F)   0.8604 states/eV/atom
data_BaTeIr2
_chemical_formula_sum 'Ba1 Te1 Ir2'
_space_group_name_H-M_alt 'P 1 2/m 1'
_space_group_IT_number 10
_cell_length_a 3.165
_cell_length_b 4.460
_cell_length_c 6.944
_cell_angle_alpha 90.00
_cell_angle_beta 100.22
_cell_angle_gamma 90.00
loop_
_space_group_symop_operation_xyz
'x,y,z'
'-x,-y,-z'
'-x,y,-z'
'x,-y,z'
loop_
_atom_site_label
_atom_site_fract_x
_atom_site_fract_y
_atom_site_fract_z
Ba1 0.000 0.000 0.000
Te1 0.500 0.000 0.500
Ir1 0.302 0.500 0.667

# PBE-GGA LiAcEu2, optimized geometry
# DFT total energy   -6.56 eV/atom
# D(E_F)   2.8926 states/eV/atom
# Relative energy among the computed polymorphs   0.033 eV per atom
data_LiAcEu2
_chemical_formula_sum 'Li3 Ac3 Eu6'
_space_group_name_H-M_alt 'R -3 m'
_space_group_IT_number 166
_space_group_name_Hall '-R 3 2"'
_cell_length_a 3.8536
_cell_length_b 3.8536
_cell_length_c 36.5734
_cell_angle_alpha 90.00
_cell_angle_beta 90.00
_cell_angle_gamma 120.00
loop_
_atom_site_label
_atom_site_fract_x
_atom_site_fract_y
_atom_site_fract_z
Li1 0.0000 0.0000 0.0000
Ac1 0.0000 0.0000 0.5000
Eu1 0.0000 0.0000 0.2562

# PBE-GGA Li2InSnBi, optimized geometry
# DFT total energy   -3.12 eV/atom
# D(E_F)   0.3454 states/eV/atom
data_Li2InSnBi
_chemical_formula_sum 'Li4 In2 Sn2 Bi2'
_space_group_name_H-M_alt 'P 1 21/m 1'
_space_group_IT_number 11
_cell_length_a 7.289
_cell_length_b 4.443
_cell_length_c 7.553
_cell_angle_alpha 90.00
_cell_angle_beta 99.74
_cell_angle_gamma 90.00
loop_
_space_group_symop_operation_xyz
'x,y,z'
'-x,-y,-z'
'-x,y+1/2,-z'
'x,-y+1/2,z'
loop_
_atom_site_label
_atom_site_fract_x
_atom_site_fract_y
_atom_site_fract_z
Li1 0.039 0.250 0.358
Li2 0.459 0.250 0.151
In1 0.152 0.750 0.056
Sn1 0.351 0.750 0.450
Bi1 0.244 0.250 0.762

# PBE-GGA RbTl3Cu, optimized geometry
# DFT total energy   -1.30 eV/atom
# D(E_F)   1.7705 states/eV/atom
# Relative energy among the computed polymorphs   1.034 eV per atom
data_RbTl3Cu
_chemical_formula_sum 'Rb1 Tl3 Cu1'
_space_group_name_H-M_alt 'P m -3 m'
_space_group_IT_number 221
_space_group_name_Hall '-P 4 2 3'
_cell_length_a 6.533
_cell_length_b 6.533
_cell_length_c 6.533
_cell_angle_alpha 90.00
_cell_angle_beta 90.00
_cell_angle_gamma 90.00
loop_
_atom_site_label
_atom_site_fract_x
_atom_site_fract_y
_atom_site_fract_z
Rb1 0.000 0.000 0.000
Tl1 0.000 0.000 0.500
Cu1 0.500 0.500 0.500

# PBE-GGA PrNd6Y5, optimized geometry
# DFT total energy   -5.46 eV/atom
# D(E_F)   1.4150 states/eV/atom
data_PrNd6Y5
_chemical_formula_sum 'Pr2 Nd12 Y10'
_space_group_name_H-M_alt 'I m m m'
_space_group_IT_number 71
_space_group_name_Hall '-I 2 2'
_cell_length_a 5.164
_cell_length_b 10.240
_cell_length_c 15.447
_cell_angle_alpha 90.00
_cell_angle_beta 90.00
_cell_angle_gamma 90.00
loop_
_atom_site_label
_atom_site_fract_x
_atom_site_fract_y
_atom_site_fract_z
Pr1 0.000 0.000 0.000
Nd1 0.000 0.248 0.500
Nd2 0.000 0.251 0.167
Y1 0.000 0.000 0.333
Y2 0.000 0.500 0.000
Y3 0.000 0.500 0.333

# PBE-GGA PuScAlO6, optimized geometry
# DFT total energy   -8.84 eV/atom
# Formation energy (no corrections)   -2819 meV per atom
# D(E_F)   0.7625 states/eV/atom
data_PuScAlO6
_chemical_formula_sum 'Pu2 Sc2 Al2 O12'
_space_group_name_H-M_alt 'P -3 1 c'
_space_group_IT_number 163
_space_group_name_Hall '-P 3 2c'
_cell_length_a 5.1753
_cell_length_b 5.1753
_cell_length_c 9.1969
_cell_angle_alpha 90.00
_cell_angle_beta 90.00
_cell_angle_gamma 120.00
loop_
_atom_site_label
_atom_site_fract_x
_atom_site_fract_y
_atom_site_fract_z
Pu1 0.3333 0.6667 0.2500
Sc1 0.0000 0.0000 0.0000
Al1 0.3333 0.6667 0.7500
O1 0.0207 0.3534 0.6345

# PBE-GGA ZnRe2Hg, optimized geometry
# DFT total energy   -5.82 eV/atom
# D(E_F)   1.1989 states/eV/atom
# Relative energy among the computed polymorphs   0.537 eV per atom
data_ZnRe2Hg
_chemical_formula_sum 'Zn2 Re4 Hg2'
_space_group_name_H-M_alt 'I 4/m m m'
_space_group_IT_number 139
_space_group_name_Hall '-I 4 2'
_cell_length_a 3.802
_cell_length_b 3.802
_cell_length_c 9.014
_cell_angle_alpha 90.00
_cell_angle_beta 90.00
_cell_angle_gamma 90.00
loop_
_atom_site_label
_atom_site_fract_x
_atom_site_fract_y
_atom_site_fract_z
Zn1 0.000 0.000 0.000
Re1 0.000 0.500 0.250
Hg1 0.000 0.000 0.500

# PBE-GGA YbPm3, optimized geometry
# DFT total energy   -3.94 eV/atom
# D(E_F)   1.6049 states/eV/atom
# Relative energy among the computed polymorphs   0.010 eV per atom
data_YbPm3
_chemical_formula_sum 'Yb2 Pm6'
_space_group_name_H-M_alt 'P 63/m m c'
_space_group_IT_number 194
_space_group_name_Hall '-P 6c 2c'
_cell_length_a 7.3700
_cell_length_b 7.3700
_cell_length_c 5.8923
_cell_angle_alpha 90.00
_cell_angle_beta 90.00
_cell_angle_gamma 120.00
loop_
_atom_site_label
_atom_site_fract_x
_atom_site_fract_y
_atom_site_fract_z
Yb1 0.3333 0.6667 0.2500
Pm1 0.1652 0.3305 0.7500

# PBE-GGA Rb12Pt3I5, optimized geometry
# DFT total energy   -2.48 eV/atom
# Formation energy (no corrections)   -603 meV per atom
# D(E_F)   0.2156 states/eV/atom
data_Rb12Pt3I5
_chemical_formula_sum 'Rb96 Pt24 I40'
_space_group_name_H-M_alt 'I a -3 d'
_space_group_IT_number 230
_space_group_name_Hall '-I 4bd 2c 3'
_cell_length_a 20.652
_cell_length_b 20.652
_cell_length_c 20.652
_cell_angle_alpha 90.00
_cell_angle_beta 90.00
_cell_angle_gamma 90.00
loop_
_atom_site_label
_atom_site_fract_x
_atom_site_fract_y
_atom_site_fract_z
Rb1 0.015 0.085 0.654
Pt1 0.000 0.250 0.125
I1 0.000 0.000 0.000
I2 0.000 0.250 0.375

# PBE-GGA Li2TcAs2, optimized geometry
# DFT total energy   -4.56 eV/atom
# D(E_F)   0.5950 states/eV/atom
# Relative energy among the computed polymorphs   0.508 eV per atom
data_Li2TcAs2
_chemical_formula_sum 'Li4 Tc2 As4'
_space_group_name_H-M_alt 'I 4/m m m'
_space_group_IT_number 139
_space_group_name_Hall '-I 4 2'
_cell_length_a 4.510
_cell_length_b 4.510
_cell_length_c 7.046
_cell_angle_alpha 90.00
_cell_angle_beta 90.00
_cell_angle_gamma 90.00
loop_
_atom_site_label
_atom_site_fract_x
_atom_site_fract_y
_atom_site_fract_z
Li1 0.000 0.000 0.141
Tc1 0.000 0.000 0.500
As1 0.000 0.500 0.250

# PBE-GGA HPdRh, optimized geometry
# DFT total energy   -5.11 eV/atom
# D(E_F)   1.3561 states/eV/atom
# Relative energy among the computed polymorphs   0.136 eV per atom
data_HPdRh
_chemical_formula_sum 'H2 Pd2 Rh2'
_space_group_name_H-M_alt 'I 4 m m'
_space_group_IT_number 107
_space_group_name_Hall 'I 4 -2'
_cell_length_a 2.719
_cell_length_b 2.719
_cell_length_c 9.291
_cell_angle_alpha 90.00
_cell_angle_beta 90.00
_cell_angle_gamma 90.00
loop_
_atom_site_label
_atom_site_fract_x
_atom_site_fract_y
_atom_site_fract_z
H1 0.000 0.000 0.000
Pd1 0.000 0.000 0.252
Rh1 0.000 0.000 0.531

# PBE-GGA Dy5Er8Zr, optimized geometry
# DFT total energy   -4.67 eV/atom
# D(E_F)   0.9551 states/eV/atom
data_Dy5Er8Zr
_chemical_formula_sum 'Dy10 Er16 Zr2'
_space_group_name_H-M_alt 'C 1 2 1'
_space_group_IT_number 5
_cell_length_a 13.499
_cell_length_b 9.666
_cell_length_c 9.207
_cell_angle_alpha 90.00
_cell_angle_beta 132.10
_cell_angle_gamma 90.00
loop_
_space_group_symop_operation_xyz
'x,y,z'
'-x,y,-z'
'x+1/2,y+1/2,z'
'-x+1/2,y+1/2,-z'
loop_
_atom_site_label
_atom_site_fract_x
_atom_site_fract_y
_atom_site_fract_z
Dy1 0.000 0.000 0.000
Dy2 0.000 0.770 0.287
Dy3 0.176 0.428 0.980
Er1 0.005 0.127 0.321
Er2 0.180 0.428 0.379
Er3 0.214 0.623 0.712
Er4 0.221 0.747 0.220
Zr1 0.000 0.389 0.500

# PBE-GGA KBeCo4, optimized geometry
# DFT total energy   -4.73 eV/atom
# D(E_F)   1.0486 states/eV/atom
data_KBeCo4
_chemical_formula_sum 'K4 Be4 Co16'
_space_group_name_H-M_alt 'F -4 3 m'
_space_group_IT_number 216
_space_group_name_Hall 'F -4 2 3'
_cell_length_a 6.987
_cell_length_b 6.987
_cell_length_c 6.987
_cell_angle_alpha 90.00
_cell_angle_beta 90.00
_cell_angle_gamma 90.00
loop_
_atom_site_label
_atom_site_fract_x
_atom_site_fract_y
_atom_site_fract_z
K1 0.000 0.000 0.000
Be1 0.250 0.250 0.750
Co1 0.123 0.123 0.377

# PBE-GGA Na3ErSc2Te6, optimized geometry
# DFT total energy   -4.56 eV/atom
# Formation energy (no corrections)   -1224 meV per atom
data_Na3ErSc2Te6
_chemical_formula_sum 'Na6 Er2 Sc4 Te12'
_space_group_name_H-M_alt 'C 1 2/m 1'
_space_group_IT_number 12
_cell_length_a 7.436
_cell_length_b 12.882
_cell_length_c 7.938
_cell_angle_alpha 90.00
_cell_angle_beta 108.24
_cell_angle_gamma 90.00
loop_
_space_group_symop_operation_xyz
'x,y,z'
'-x,-y,-z'
'-x,y,-z'
'x,-y,z'
'x+1/2,y+1/2,z'
'-x+1/2,-y+1/2,-z'
'-x+1/2,y+1/2,-z'
'x+1/2,-y+1/2,z'
loop_
_atom_site_label
_atom_site_fract_x
_atom_site_fract_y
_atom_site_fract_z
Na1 0.000 0.000 0.000
Na2 0.000 0.337 0.000
Er1 0.000 0.500 0.500
Sc1 0.000 0.167 0.500
Te1 0.231 0.000 0.723
Te2 0.246 0.329 0.724